Record 1
Density functional theory data (PBE-GGA) for a relaxed structure of Dy2Y7.

Lattice parameters (Å, degrees): 6.1731 6.1731 8.7397 90.00 90.00 120.00
Last column: nearest neighbours and their distance in Å.
Fractional positions:
Dy: 0.3333 0.6667 0.0000  9 Y 3.56, 3 Dy 3.56
Dy: 0.6667 0.3333 0.0000  9 Y 3.56, 3 Dy 3.56
Y: 0.0000 0.0000 0.0000  6 Dy 3.56, 6 Y 3.57
Y: 0.6660 0.0000 0.3328  10 Y 3.56-3.58, 2 Dy 3.56
Y: 0.0000 0.6660 0.3328  10 Y 3.56-3.58, 2 Dy 3.56
Y: 0.3340 0.3340 0.3328  10 Y 3.56-3.58, 2 Dy 3.56
Y: 0.0000 0.3340 0.6672  10 Y 3.56-3.58, 2 Dy 3.56
Y: 0.3340 0.0000 0.6672  10 Y 3.56-3.58, 2 Dy 3.56
Y: 0.6660 0.6660 0.6672  10 Y 3.56-3.58, 2 Dy 3.56

Properties
Excess energy over the best structure of this formula in the dataset   0 kJ/mol of formula units
D(E_F)   14.94 states/eV/cell
Formation energy   0.03 eV per atom

=====

Record 2
Density functional theory data (PBE-GGA) for a relaxed structure of Mg3SnPt12.

Lattice parameters (Å, degrees): 3.9872 3.9872 15.9319 90.00 90.00 90.00
Last column: nearest neighbours and their distance in Å.
Fractional positions:
Mg: 0.0000 0.0000 0.2541  12 Pt 2.79-2.82
Mg: 0.0000 0.0000 0.5000  12 Pt 2.80-2.82
Mg: 0.0000 0.0000 0.7459  12 Pt 2.79-2.82
Sn: 0.0000 0.0000 0.0000  12 Pt 2.82-2.88
Pt: 0.5000 0.5000 0.0000  4 Sn 2.82, 8 Pt 2.88
Pt: 0.5000 0.5000 0.2533  8 Pt 2.79-2.80, 4 Mg 2.82
Pt: 0.5000 0.5000 0.5000  8 Pt 2.80, 4 Mg 2.82
Pt: 0.5000 0.5000 0.7467  8 Pt 2.79-2.80, 4 Mg 2.82
Pt: 0.5000 0.0000 0.1305  8 Pt 2.79-2.88, 2 Mg 2.80, 2 Sn 2.88
Pt: 0.5000 0.0000 0.3769  4 Mg 2.79-2.80, 8 Pt 2.80-2.82
Pt: 0.5000 0.0000 0.6231  4 Mg 2.79-2.80, 8 Pt 2.80-2.82
Pt: 0.5000 0.0000 0.8695  8 Pt 2.79-2.88, 2 Mg 2.80, 2 Sn 2.88
Pt: 0.0000 0.5000 0.1305  8 Pt 2.79-2.88, 2 Mg 2.80, 2 Sn 2.88
Pt: 0.0000 0.5000 0.3769  4 Mg 2.79-2.80, 8 Pt 2.80-2.82
Pt: 0.0000 0.5000 0.6231  4 Mg 2.79-2.80, 8 Pt 2.80-2.82
Pt: 0.0000 0.5000 0.8695  8 Pt 2.79-2.88, 2 Mg 2.80, 2 Sn 2.88

Properties
D(E_F)   13.81 states/eV/cell
Formation energy   -0.55 eV per atom

=====

Record 3
Density functional theory data (PBE-GGA) for a relaxed structure of NiSbSe2.

Lattice parameters (Å, degrees): 4.7638 4.7638 4.7542 72.22 72.22 113.01
Last column: nearest neighbours and their distance in Å.
Fractional positions:
Ni: 0.5000 0.0000 0.5000  2 Sb 2.63, 4 Se 2.80
Sb: 0.0000 0.5000 0.5000  2 Ni 2.63, 4 Se 2.80
Se: 0.0000 0.0000 0.0000  2 Se 2.63, 2 Sb 2.80, 2 Ni 2.80
Se: 0.5000 0.5000 0.0000  2 Se 2.63, 2 Ni 2.80, 2 Sb 2.80

Properties
Energy relative to the elements, uncorrected   0.080 eV/atom
D(E_F)   2.99 states/eV/cell

=====

Record 4
Density functional theory data (PBE-GGA) for a relaxed structure of Ti3Ni13.

Lattice parameters (Å, degrees): 5.0792 5.0792 8.2774 90.00 90.00 120.02
Last column: nearest neighbours and their distance in Å.
Fractional positions:
Ti: 0.0000 0.0000 0.7518  12 Ni 2.54-2.57
Ti: 0.3334 0.6666 0.0000  12 Ni 2.54-2.56
Ti: 0.0000 0.0000 0.2482  12 Ni 2.54-2.57
Ni: 0.9966 0.4984 0.7482  9 Ni 2.51-2.57, 3 Ti 2.54-2.56
Ni: 0.5017 0.4983 0.7482  9 Ni 2.51-2.57, 3 Ti 2.54-2.56
Ni: 0.5016 0.0034 0.7482  9 Ni 2.51-2.57, 3 Ti 2.54-2.56
Ni: 0.8282 0.6561 0.0000  8 Ni 2.46-2.62, 4 Ti 2.54-2.55
Ni: 0.3439 0.1718 0.0000  8 Ni 2.46-2.62, 4 Ti 2.54-2.55
Ni: 0.8281 0.1719 0.0000  8 Ni 2.46-2.62, 4 Ti 2.54-2.55
Ni: 0.9966 0.4984 0.2518  9 Ni 2.51-2.57, 3 Ti 2.54-2.56
Ni: 0.5017 0.4983 0.2518  9 Ni 2.51-2.57, 3 Ti 2.54-2.56
Ni: 0.5016 0.0034 0.2518  9 Ni 2.51-2.57, 3 Ti 2.54-2.56
Ni: 0.1716 0.8284 0.5000  10 Ni 2.46-2.62, 2 Ti 2.57
Ni: 0.6567 0.8284 0.5000  10 Ni 2.46-2.62, 2 Ti 2.57
Ni: 0.1716 0.3433 0.5000  10 Ni 2.46-2.62, 2 Ti 2.57
Ni: 0.6667 0.3333 0.5000  12 Ni 2.52-2.54

Properties
Excess energy over the best structure of this formula in the dataset   0 kJ/mol of formula units
D(E_F)   20.25 states/eV/cell
Formation energy   -0.33 eV per atom

=====

Record 5
Density functional theory data (PBE-GGA) for a relaxed structure of Hg4S12Cl.

Lattice parameters (Å, degrees): 10.5863 9.0961 5.5850 107.93 105.47 78.06
Last column: nearest neighbours and their distance in Å.
Fractional positions:
Hg: 0.0000 0.5000 0.0000  2 S 2.42
Hg: 0.0000 0.0000 0.5000  2 S 2.48
Hg: 0.5000 0.0000 0.0000  2 S 2.47
Hg: 0.5000 0.5000 0.5000  2 S 2.46
S: 0.7729 0.1278 0.5413  1 S 2.03
S: 0.8406 0.4860 0.2299  1 S 2.01
S: 0.5279 0.6465 0.2189  1 S 2.01
S: 0.1584 0.3129 0.4881  2 S 2.01-2.20
S: 0.4721 0.3535 0.7811  1 S 2.01
S: 0.1594 0.5140 0.7701  1 S 2.01
S: 0.6411 0.8134 0.4304  2 S 2.01-2.20
S: 0.3589 0.1866 0.5696  2 S 2.01-2.20
S: 0.8416 0.6871 0.5119  2 S 2.01-2.20
S: 0.6700 0.1765 0.2061  1 S 2.03
S: 0.3300 0.8235 0.7939  1 S 2.03
S: 0.2271 0.8722 0.4587  1 S 2.03
Cl: 0.0000 0.0000 0.0000  2 Hg 2.79

Properties
Energy relative to the elements, uncorrected   0.035 eV/atom
D(E_F)   8.59 states/eV/cell

=====

Record 6
Density functional theory data (PBE-GGA) for a relaxed structure of PuCd6In2.

Lattice parameters (Å, degrees): 5.0837 5.0838 9.7791 89.98 90.00 120.00
Last column: nearest neighbours and their distance in Å.
Fractional positions:
Pu: 0.0000 0.0000 0.5000  6 In 3.33, 8 Cd 3.34-3.42
Cd: 0.6667 0.3333 0.0124  7 Cd 2.95-3.26, 1 In 3.20
Cd: 0.3333 0.6667 0.9876  7 Cd 2.95-3.26, 1 In 3.20
Cd: 0.0000 0.0001 0.1582  10 Cd 3.09-3.38, 1 Pu 3.34, 3 In 3.43
Cd: 0.3334 0.6668 0.3203  3 In 2.94, 1 Cd 3.25
Cd: 0.0000 0.9999 0.8418  10 Cd 3.09-3.38, 1 Pu 3.34, 3 In 3.43
Cd: 0.6666 0.3332 0.6797  3 In 2.94, 1 Cd 3.25
In: 0.3332 0.6664 0.6601  4 Cd 2.94-3.20
In: 0.6668 0.3336 0.3399  4 Cd 2.94-3.20

Properties
D(E_F)   15.25 states/eV/cell
Formation energy   -0.04 eV per atom

=====

Record 7
Density functional theory data (PBE-GGA) for a relaxed structure of Be2AlH8.

Lattice parameters (Å, degrees): 5.5226 6.1965 6.9226 75.10 66.49 63.54
Last column: nearest neighbours and their distance in Å.
Fractional positions:
Be: 0.7049 0.9703 0.0014  5 H 1.43-1.57
Be: 0.3234 0.4703 0.5014  5 H 1.43-1.57
Be: 0.6766 0.5297 0.4986  5 H 1.43-1.57
Be: 0.2951 0.0297 0.9986  5 H 1.43-1.57
Al: 0.9669 0.7500 0.2500  6 H 1.70-1.79
Al: 0.0331 0.2500 0.7500  6 H 1.70-1.79
H: 0.3676 0.6772 0.5444  2 Be 1.48-1.52
H: 0.1241 0.9505 0.1969  1 Be 1.43
H: 0.6782 0.0213 0.2049  1 Be 1.46
H: 0.3121 0.2191 0.5122  1 Be 1.57, 1 Al 1.73
H: 0.3218 0.9787 0.7951  1 Be 1.46
H: 0.0434 0.2809 0.9878  1 Be 1.57, 1 Al 1.73
H: 0.6879 0.7809 0.4878  1 Be 1.57, 1 Al 1.73
H: 0.0955 0.5213 0.7049  1 Be 1.46
H: 0.9566 0.7191 0.0122  1 Be 1.57, 1 Al 1.73
H: 0.5891 0.8228 0.9556  2 Be 1.48-1.52
H: 0.7285 0.4505 0.6969  1 Be 1.43
H: 0.2715 0.5495 0.3031  1 Be 1.43
H: 0.4109 0.1772 0.0444  2 Be 1.48-1.52
H: 0.9045 0.4787 0.2951  1 Be 1.46
H: 0.6324 0.3228 0.4556  2 Be 1.48-1.52
H: 0.8759 0.0495 0.8031  1 Be 1.43

Properties
D(E_F)   2.58 states/eV/cell
Electronic total energy   -3.31 eV per atom

=====

Record 8
Density functional theory data (PBE-GGA) for a relaxed structure of Cd2SnHg2.

Lattice parameters (Å, degrees): 4.4269 3.2073 12.8469 74.57 80.08 46.36
Last column: nearest neighbours and their distance in Å.
Fractional positions:
Cd: 0.0462 0.2058 0.2017  3 Hg 3.04-3.28, 4 Cd 3.21, 3 Sn 3.31-3.34
Cd: 0.9538 0.7942 0.7983  3 Hg 3.04-3.28, 4 Cd 3.21, 3 Sn 3.31-3.34
Sn: 0.5000 0.5000 0.0000  4 Sn 3.21, 8 Cd 3.31-3.52
Hg: 0.6513 0.8033 0.3942  5 Hg 3.00-3.21, 3 Cd 3.04-3.28
Hg: 0.3487 0.1967 0.6058  5 Hg 3.00-3.21, 3 Cd 3.04-3.28

Properties
Excess energy over the best structure of this formula in the dataset   0 kJ/mol of formula units
D(E_F)   1.78 states/eV/cell
Formation energy   0.05 eV per atom

=====

Record 9
Density functional theory data (PBE-GGA) for a relaxed structure of Be2CrCoTe.

Lattice parameters (Å, degrees): 4.5712 4.5774 4.5712 90.00 90.00 90.00
Last column: nearest neighbours and their distance in Å.
Fractional positions:
Cr: 0.5000 0.5000 0.5000  4 Co 3.23, 8 Be 3.23
Te: 0.0000 0.0000 0.0000  4 Be 2.29, 2 Co 2.29
Co: 0.0000 0.5000 0.0000  2 Te 2.29
Be: 0.0000 0.0000 0.5000  2 Te 2.29
Be: 0.5000 0.0000 0.0000  2 Te 2.29

Properties
Energy relative to the elements, uncorrected   1.473 eV/atom
D(E_F)   3.90 states/eV/cell

=====

Record 10
Density functional theory data (PBE-GGA) for a relaxed structure of Li3Zn2H8.

Lattice parameters (Å, degrees): 5.6732 5.8678 7.9587 90.00 90.00 118.91
Last column: nearest neighbours and their distance in Å.
Fractional positions:
Li: 0.6098 0.7196 0.2500  6 H 1.87-1.98
Li: 0.5000 0.0000 0.5000  6 H 1.93-1.96
Li: 0.8902 0.2804 0.7500  6 H 1.87-1.98
Li: 0.1098 0.7196 0.2500  6 H 1.87-1.98
Li: 0.0000 0.0000 0.0000  6 H 1.93-1.96
Li: 0.3902 0.2804 0.7500  6 H 1.87-1.98
Zn: 0.6145 0.2289 0.1195  4 H 1.65-1.70
Zn: 0.8855 0.7711 0.6195  4 H 1.65-1.70
Zn: 0.1145 0.2289 0.3805  4 H 1.65-1.70
Zn: 0.3855 0.7711 0.8805  4 H 1.65-1.70
H: 0.6126 0.7518 0.0021  1 Zn 1.66
H: 0.6392 0.7518 0.4979  1 Zn 1.66
H: 0.0112 0.0224 0.7585  1 Zn 1.70
H: 0.7593 0.5186 0.7467  1 Zn 1.65
H: 0.4888 0.9776 0.2585  1 Zn 1.70
H: 0.7407 0.4814 0.2467  1 Zn 1.65
H: 0.1126 0.7518 0.4979  1 Zn 1.66
H: 0.8608 0.2482 0.9979  1 Zn 1.66
H: 0.1392 0.7518 0.0021  1 Zn 1.66
H: 0.8874 0.2482 0.5021  1 Zn 1.66
H: 0.9888 0.9776 0.2415  1 Zn 1.70
H: 0.5112 0.0224 0.7415  1 Zn 1.70
H: 0.2407 0.4814 0.2533  1 Zn 1.65
H: 0.2593 0.5186 0.7533  1 Zn 1.65
H: 0.3608 0.2482 0.5021  1 Zn 1.66
H: 0.3874 0.2482 0.9979  1 Zn 1.66

Properties
Excess energy over the best structure of this formula in the dataset   0 kJ/mol of formula units
D(E_F)   5.21 states/eV/cell